Entry 1:
## Pm4GaFe (PBE)

Data for Pm4GaFe after structural relaxation.

a b c (Å): 6.237 7.650 7.650
angles (deg): 111.31 99.47 99.47
Element x y z (fractional)
Pm 0.908 0.624 0.787
Pm 0.040 0.945 0.273
Pm 0.592 0.213 0.376
Pm 0.460 0.727 0.055
Pm 0.540 0.273 0.945
Pm 0.408 0.787 0.624
Pm 0.960 0.055 0.727
Pm 0.092 0.376 0.213
Ga 0.750 0.623 0.377
Ga 0.250 0.377 0.623
Fe 0.250 0.999 0.001
Fe 0.750 0.001 0.999

Output
- crystal system = monoclinic
- energy of formation from the pure elements (kcal/mol of atoms) = -3.26
- density of states at the Fermi level (states/eV/atom) = 1.133
- space group = C2/c (15)

***

Entry 2:
## Sr2LiIn6Au (PBE)

Data for Sr2LiIn6Au after structural relaxation.

a b c (Å): 7.438 7.466 7.459
angles (deg): 59.85 60.09 89.96
Element x y z (fractional)
Sr 0.292 0.708 0.500
Sr 0.708 0.292 0.500
Li 0.500 0.500 0.000
In 0.260 0.740 0.000
In 0.774 0.774 0.936
In 0.222 0.222 0.485
In 0.740 0.260 0.000
In 0.226 0.226 0.064
In 0.778 0.778 0.515
Au 0.000 0.000 0.000

Output
- crystal system = triclinic
- energy of formation from the pure elements (kcal/mol of atoms) = -4.59
- density of states at the Fermi level (states/eV/atom) = 0.461
- space group = P-1 (2)

***

Entry 3:
## NbRu3Pb (PBE)

Data for NbRu3Pb after structural relaxation.

a b c (Å): 4.759 4.759 4.759
angles (deg): 90.00 90.00 90.00
Element x y z (fractional)
Pb 0.500 0.500 0.500
Ru 0.000 0.500 0.000
Ru 0.000 0.000 0.500
Ru 0.500 0.000 0.000
Nb 0.000 0.000 0.000

Output
- crystal system = cubic
- energy of formation from the pure elements (kcal/mol of atoms) = 30.29
- density of states at the Fermi level (states/eV/atom) = 1.552
- energy above the lowest structure with this stoichiometry (eV per formula unit) = 0.00
- space group = Pm-3m (221)

***

Entry 4:
## Na2SrZr (PBE)

Data for Na2SrZr after structural relaxation.

a b c (Å): 5.765 5.765 5.765
angles (deg): 60.00 60.00 60.00
Site moments in Bohr magnetons follow the coordinates.
Element x y z (fractional)
Sr 0.000 0.000 0.000  0.08
Zr 0.500 0.500 0.500  1.25
Na 0.250 0.250 0.250  0.01
Na 0.750 0.750 0.750  0.01

Output
- crystal system = cubic
- energy of formation from the pure elements (kcal/mol of atoms) = 15.35
- density of states at the Fermi level (states/eV/atom) = 0.765
- energy above the lowest structure with this stoichiometry (eV per formula unit) = 0.00
- space group = Fm-3m (225)